VASP calculation (PBE) on an optimized crystal structure of Ag2BrF.

Cell: 4.6831 4.6831 4.6831 Å, 60.00 60.00 60.00°
Closest atoms and distances in Å follow each position.
Atoms (fractional coordinates):
Br 0.5000 0.5000 0.5000  8 Ag 2.87
Ag 0.2500 0.2500 0.2500  4 F 2.87, 4 Br 2.87
Ag 0.7500 0.7500 0.7500  4 F 2.87, 4 Br 2.87
F 0.0000 0.0000 0.0000  8 Ag 2.87

Output
Polymorph energy (0 for the lowest one) (kJ/mol of atoms): 9.4
Magnetization (μB per cell): 0.00
Theoretical density (g/cm3): 7.19
ΔE_f (raw) (eV per atom): -0.55